# BaNpN | Alexandria | PBE | optimized geometry
data_BaNpN
_chemical_formula_sum 'Ba4 Np4 N4'
_space_group_name_H-M_alt 'P n m a'
_space_group_IT_number 62
_space_group_name_Hall '-P 2ac 2n'
_cell_length_a 6.093
_cell_length_b 3.243
_cell_length_c 15.543
_cell_angle_alpha 90.00
_cell_angle_beta 90.00
_cell_angle_gamma 90.00
loop_
_atom_site_label
_atom_site_type_symbol
_atom_site_fract_x
_atom_site_fract_y
_atom_site_fract_z
Ba1 Ba 0.250 0.250 0.076
Np1 Np 0.250 0.250 0.302
N1 N 0.000 0.250 0.750
# - Calculated total energy: -7.92 eV/atom


# Ba3Np2N7 | Alexandria | PBE | optimized geometry
data_Ba3Np2N7
_chemical_formula_sum 'Ba6 Np4 N14'
_space_group_name_H-M_alt 'C m m m'
_space_group_IT_number 65
_space_group_name_Hall '-C 2 2'
_cell_length_a 4.337
_cell_length_b 23.893
_cell_length_c 4.289
_cell_angle_alpha 90.00
_cell_angle_beta 90.00
_cell_angle_gamma 90.00
loop_
_atom_site_label
_atom_site_type_symbol
_atom_site_fract_x
_atom_site_fract_y
_atom_site_fract_z
Ba1 Ba 0.000 0.000 0.000
Ba2 Ba 0.000 0.173 0.000
Np1 Np 0.000 0.411 0.500
N1 N 0.000 0.091 0.500
N2 N 0.000 0.329 0.500
N3 N 0.000 0.409 0.000
N4 N 0.000 0.500 0.500
# - Calculated total energy: -8.28 eV/atom


# Ba2Np2N7 | Alexandria | PBE | optimized geometry
data_Ba2Np2N7
_chemical_formula_sum 'Ba4 Np4 N14'
_space_group_name_H-M_alt 'C m m m'
_space_group_IT_number 65
_space_group_name_Hall '-C 2 2'
_cell_length_a 9.106
_cell_length_b 10.109
_cell_length_c 4.214
_cell_angle_alpha 90.00
_cell_angle_beta 90.00
_cell_angle_gamma 90.00
loop_
_atom_site_label
_atom_site_type_symbol
_atom_site_fract_x
_atom_site_fract_y
_atom_site_fract_z
Ba1 Ba 0.234 0.000 0.000
Np1 Np 0.000 0.214 0.500
N1 N 0.000 0.000 0.500
N2 N 0.000 0.218 0.000
N3 N 0.241 0.314 0.500
# - Calculated total energy: -8.67 eV/atom


# BaNp2N4 | Alexandria | PBE | optimized geometry
data_BaNp2N4
_chemical_formula_sum 'Ba4 Np8 N16'
_space_group_name_H-M_alt 'C m c m'
_space_group_IT_number 63
_space_group_name_Hall '-C 2c 2'
_cell_length_a 3.521
_cell_length_b 11.434
_cell_length_c 11.175
_cell_angle_alpha 90.00
_cell_angle_beta 90.00
_cell_angle_gamma 90.00
loop_
_atom_site_label
_atom_site_type_symbol
_atom_site_fract_x
_atom_site_fract_y
_atom_site_fract_z
Ba1 Ba 0.000 0.108 0.250
Np1 Np 0.000 0.366 0.068
N1 N 0.000 0.000 0.000
N2 N 0.000 0.260 0.589
N3 N 0.000 0.423 0.250
# - Calculated total energy: -9.70 eV/atom


# Ba5Np2N6 | Alexandria | PBE | optimized geometry
data_Ba5Np2N6
_chemical_formula_sum 'Ba20 Np8 N24'
_space_group_name_H-M_alt 'C 1 2/c 1'
_space_group_IT_number 15
_space_group_name_Hall '-C 2yc'
_cell_length_a 11.486
_cell_length_b 7.768
_cell_length_c 14.332
_cell_angle_alpha 90.00
_cell_angle_beta 96.15
_cell_angle_gamma 90.00
loop_
_atom_site_label
_atom_site_type_symbol
_atom_site_fract_x
_atom_site_fract_y
_atom_site_fract_z
Ba1 Ba 0.000 0.115 0.250
Ba2 Ba 0.033 0.226 0.989
Ba3 Ba 0.162 0.422 0.704
Np1 Np 0.220 0.429 0.434
N1 N 0.056 0.475 0.374
N2 N 0.138 0.080 0.646
N3 N 0.181 0.148 0.439
# - Calculated total energy: -7.25 eV/atom


# Ba4NpN5 | Alexandria | PBE | optimized geometry
data_Ba4NpN5
_chemical_formula_sum 'Ba8 Np2 N10'
_space_group_name_H-M_alt 'I 4'
_space_group_IT_number 79
_space_group_name_Hall 'I 4'
_cell_length_a 8.673
_cell_length_b 8.673
_cell_length_c 5.639
_cell_angle_alpha 90.00
_cell_angle_beta 90.00
_cell_angle_gamma 90.00
loop_
_atom_site_label
_atom_site_type_symbol
_atom_site_fract_x
_atom_site_fract_y
_atom_site_fract_z
Ba1 Ba 0.107 0.706 0.000
Np1 Np 0.000 0.000 0.517
N1 N 0.000 0.000 0.897
N2 N 0.077 0.772 0.497
# - Calculated total energy: -6.95 eV/atom


# Ba3NpN3 | Alexandria | PBE | optimized geometry
data_Ba3NpN3
_chemical_formula_sum 'Ba24 Np8 N24'
_space_group_name_H-M_alt 'C m c e'
_space_group_IT_number 64
_space_group_name_Hall '-C 2ac 2'
_cell_length_a 15.046
_cell_length_b 10.005
_cell_length_c 10.349
_cell_angle_alpha 90.00
_cell_angle_beta 90.00
_cell_angle_gamma 90.00
loop_
_atom_site_label
_atom_site_type_symbol
_atom_site_fract_x
_atom_site_fract_y
_atom_site_fract_z
Ba1 Ba 0.000 0.190 0.144
Ba2 Ba 0.166 0.173 0.875
Np1 Np 0.088 0.000 0.500
N1 N 0.000 0.156 0.402
N2 N 0.153 0.145 0.598
# - Calculated total energy: -6.80 eV/atom


# Ba3Np2N3O4 | Alexandria | PBE | optimized geometry
data_Ba3Np2N3O4
_chemical_formula_sum 'Ba6 Np4 N6 O8'
_space_group_name_H-M_alt 'I m m m'
_space_group_IT_number 71
_space_group_name_Hall '-I 2 2'
_cell_length_a 4.282
_cell_length_b 4.449
_cell_length_c 22.193
_cell_angle_alpha 90.00
_cell_angle_beta 90.00
_cell_angle_gamma 90.00
loop_
_atom_site_label
_atom_site_type_symbol
_atom_site_fract_x
_atom_site_fract_y
_atom_site_fract_z
Ba1 Ba 0.000 0.000 0.000
Ba2 Ba 0.000 0.000 0.185
Np1 Np 0.000 0.000 0.403
N1 N 0.000 0.000 0.500
N2 N 0.000 0.500 0.098
O1 O 0.000 0.000 0.306
O2 O 0.000 0.500 0.401
# - Calculated total energy: -8.47 eV/atom